No. 1
Density functional theory data (GGA-PBE) for crystalline Zn2CuAgAu4 at its relaxed geometry.

Lattice parameters (Å, degrees): 7.875 7.875 7.875 33.43 33.43 33.43
Fractional coordinates of all 8 atoms:
Zn: 0.247 0.247 0.247
Zn: 0.753 0.753 0.753
Cu: 0.000 0.000 0.000
Ag: 0.500 0.500 0.500
Au: 0.118 0.118 0.118
Au: 0.370 0.370 0.370
Au: 0.630 0.630 0.630
Au: 0.882 0.882 0.882

Properties
- Calculated formation energy: -2.8 kcal/mol of atoms

No. 2
Density functional theory data (GGA-PBE) for crystalline Dy3Ga3Ge at its relaxed geometry.

Lattice parameters (Å, degrees): 5.844 5.844 14.155 106.27 106.27 42.79
Fractional coordinates of all 14 atoms:
Dy: 0.006 0.006 0.374
Dy: 0.113 0.113 0.927
Dy: 0.229 0.229 0.227
Dy: 0.771 0.771 0.773
Dy: 0.887 0.887 0.073
Dy: 0.994 0.994 0.626
Ga: 0.361 0.361 0.458
Ga: 0.396 0.396 0.924
Ga: 0.497 0.497 0.779
Ga: 0.503 0.503 0.221
Ga: 0.604 0.604 0.076
Ga: 0.639 0.639 0.542
Ge: 0.283 0.283 0.625
Ge: 0.717 0.717 0.375

Properties
- Calculated formation energy: -14.7 kcal/mol of atoms

No. 3
Density functional theory data (GGA-PBE) for crystalline Cr2HgBr at its relaxed geometry.

Lattice parameters (Å, degrees): 3.311 3.047 8.595 90.00 99.66 90.00
Fractional coordinates of all 4 atoms:
Cr: 0.000 0.000 0.000
Cr: 0.429 0.500 0.839
Hg: 0.827 0.000 0.610
Br: 0.104 0.500 0.230

Properties
- ΔE_f (raw): 0.262 eV/atom

No. 4
Density functional theory data (GGA-PBE) for crystalline InP at its relaxed geometry.

Lattice parameters (Å, degrees): 11.885 4.112 7.388 90.00 90.00 90.00
Fractional coordinates of all 12 atoms:
In: 0.000 0.044 0.000
In: 0.210 0.343 0.747
In: 0.290 0.657 0.247
In: 0.500 0.956 0.500
In: 0.710 0.657 0.247
In: 0.790 0.343 0.747
P: 0.000 0.546 0.777
P: 0.207 0.155 0.091
P: 0.293 0.845 0.591
P: 0.500 0.454 0.277
P: 0.707 0.845 0.591
P: 0.793 0.155 0.091

Properties
- Calculated formation energy: 0.6 kcal/mol of atoms

What are the M_tot values for these records? In order: 0.0 0.0 0.5 0.0 μB per formula unit.